# LaBe2Pt

LaBe2Pt at its PBEsol-relaxed geometry (meta-GGA SCAN, the Alexandria database).

For the total energy, the calculation gives -30.85 eV per atom. The formation energy is -0.3479 eV/atom. As for the crystal system: orthorhombic.

It has space group Immm (No. 71), with a = 4.1518 Å, b = 5.2378 Å, c = 6.3201 Å, α = 90.00°, β = 90.00° and γ = 90.00°. Symmetry generates all atoms from La at (0.0000, 0.0000, 0.0000), Be at (0.0000, 0.5000, 0.1703) and Pt at (0.0000, 0.0000, 0.5000).


# Mg2Cu2Hg

Mg2Cu2Hg at its PBEsol-relaxed geometry (meta-GGA SCAN, the Alexandria database).

For the total energy, the calculation gives -21.85 eV per atom. The formation energy is -0.1457 eV/atom. As for the crystal system: tetragonal.

It has space group P4/mbm (No. 127), with a = 6.9567 Å, b = 6.9567 Å, c = 3.3886 Å, α = 90.00°, β = 90.00° and γ = 90.00°. Symmetry generates all atoms from Mg at (0.1680, 0.3320, 0.0000), Cu at (0.1251, 0.6251, 0.5000) and Hg at (0.0000, 0.0000, 0.5000).


# SrLiZn

SrLiZn at its PBEsol-relaxed geometry (meta-GGA SCAN, the Alexandria database).

For the total energy, the calculation gives -12.82 eV per atom. The formation energy is -0.0893 eV/atom. As for the crystal system: tetragonal. For the relative energy among the computed polymorphs, the calculation gives 24 meV per atom.

It has space group I4mm (No. 107), with a = 3.7614 Å, b = 3.7614 Å, c = 10.6025 Å, α = 90.00°, β = 90.00° and γ = 90.00°. Symmetry generates all atoms from Sr at (0.0000, 0.0000, 0.0000), Li at (0.0000, 0.0000, 0.2882) and Zn at (0.0000, 0.0000, 0.6824).


# TiSF2

TiSF2 at its PBEsol-relaxed geometry (meta-GGA SCAN, the Alexandria database).

For the total energy, the calculation gives -10.03 eV per atom. As for the crystal system: tetragonal. For the relative energy among the computed polymorphs, the calculation gives 0 meV per atom. The value obtained for the energy relative to the elements, uncorrected is -7.38 eV/f.u.

It has space group I-42d (No. 122), with a = 3.7936 Å, b = 3.7936 Å, c = 13.9881 Å, α = 90.00°, β = 90.00° and γ = 90.00°. Symmetry generates all atoms from Ti at (0.0000, 0.0000, 0.0000), S at (0.0000, 0.0000, 0.5000) and F at (0.1336, 0.2500, 0.1250).


# Cs2TlPt

Cs2TlPt at its PBEsol-relaxed geometry (meta-GGA SCAN, the Alexandria database).

For the total energy, the calculation gives -54.69 eV per atom. The formation energy is -0.1468 eV/atom. As for the crystal system: tetragonal.

It has space group I-42d (No. 122), with a = 12.3761 Å, b = 12.3761 Å, c = 5.2372 Å, α = 90.00°, β = 90.00° and γ = 90.00°. Symmetry generates all atoms from Cs at (0.0900, 0.7500, 0.1250), Tl at (0.0000, 0.0000, 0.5000) and Pt at (0.0000, 0.0000, 0.0000).


# Ag2PCl

Ag2PCl at its PBEsol-relaxed geometry (meta-GGA SCAN, the Alexandria database).

For the total energy, the calculation gives -20.05 eV per atom. As for the crystal system: tetragonal. For the relative energy among the computed polymorphs, the calculation gives 243 meV per atom. The value obtained for the energy relative to the elements, uncorrected is 0.90 eV/f.u.

It has space group P4/mmm (No. 123), with a = 4.8276 Å, b = 4.8276 Å, c = 2.9375 Å, α = 90.00°, β = 90.00° and γ = 90.00°. Symmetry generates all atoms from Ag at (0.0000, 0.5000, 0.0000), P at (0.0000, 0.0000, 0.5000) and Cl at (0.5000, 0.5000, 0.5000).


# BeFe2Ir

BeFe2Ir at its PBEsol-relaxed geometry (meta-GGA SCAN, the Alexandria database).

For the total energy, the calculation gives -28.04 eV per atom. The formation energy is -0.1085 eV/atom. As for the crystal system: orthorhombic.

It has space group Cmm2 (No. 35), with a = 2.7963 Å, b = 4.2827 Å, c = 7.6754 Å, α = 90.00°, β = 90.00° and γ = 90.00°. Symmetry generates all atoms from Be at (0.0000, 0.0000, 0.0000), Fe at (0.0000, 0.0000, 0.5217), Fe at (0.0000, 0.5000, 0.7703) and Ir at (0.0000, 0.5000, 0.2389).


# Pd7Se4

Pd7Se4 at its PBEsol-relaxed geometry (meta-GGA SCAN, the Alexandria database).

For the total energy, the calculation gives -28.45 eV per atom. As for the crystal system: orthorhombic. The value obtained for the energy relative to the elements, uncorrected is -3.22 eV/f.u.

It has space group P2_12_12 (No. 18), with a = 6.8492 Å, b = 10.0503 Å, c = 5.3937 Å, α = 90.00°, β = 90.00° and γ = 90.00°. Symmetry generates all atoms from Pd at (0.0000, 0.0000, 0.1776), Pd at (0.0853, 0.2264, 0.4932), Pd at (0.1291, 0.6324, 0.8369), Pd at (0.1886, 0.4173, 0.1487), Se at (0.0000, 0.0000, 0.6688), Se at (0.0000, 0.5000, 0.5008) and Se at (0.1771, 0.7788, 0.1830).